Record 1
The following is a DFT calculation (PBE-GGA) of a relaxed structure of CuN2ClF.

Unit cell a=3.500 b=3.500 c=5.480 alpha=90.00 beta=90.00 gamma=90.00
Atoms (fractional coordinates):
Cl  0.000  0.000  0.000
F  0.000  0.000  0.500
N  0.500  0.000  0.000
N  0.000  0.500  0.000
Cu  0.500  0.500  0.500

As for the density of states at the Fermi level: 2.44 states/eV/f.u. For the energy above the most stable polymorph in this dataset, the calculation gives 11.54 kcal/mol of atoms. As for the uncorrected formation energy: 1821 meV per atom. Its final energy is -3.07 eV per atom. The space group is P4/mmm (123).

***

Record 2
The following is a DFT calculation (PBE-GGA) of a relaxed structure of ScPaTcGe.

Unit cell a=4.710 b=4.710 c=4.710 alpha=60.00 beta=60.00 gamma=60.00
Each line ends with the local moment (μB).
Atoms (fractional coordinates):
Ge  0.250  0.250  0.250  0.00
Pa  0.750  0.750  0.750  0.59
Tc  0.000  0.000  0.000  -0.09
Sc  0.500  0.500  0.500  0.30

As for the density of states at the Fermi level: 2.43 states/eV/f.u. Its final energy is -7.98 eV per atom. The calculation puts the energy of formation at -0.28 eV/atom. The space group is F-43m (216).

***

Record 3
The following is a DFT calculation (PBE-GGA) of a relaxed structure of TbPrRuRh.

Unit cell a=4.939 b=4.939 c=4.939 alpha=60.00 beta=60.00 gamma=60.00
Atoms (fractional coordinates):
Tb  0.500  0.500  0.500
Pr  0.000  0.000  0.000
Ru  0.750  0.750  0.750
Rh  0.250  0.250  0.250

As for the density of states at the Fermi level: 3.03 states/eV/f.u. Its final energy is -6.94 eV per atom. The calculation puts the energy of formation at -0.43 eV/atom. The space group is F-43m (216).

***

Record 4
The following is a DFT calculation (PBE-GGA) of a relaxed structure of Rb2AlPt2.

Unit cell a=6.578 b=6.578 c=5.876 alpha=90.00 beta=90.00 gamma=90.00
Atoms (fractional coordinates):
Pt  0.858  0.642  0.000
Al  0.000  0.000  0.000
Rb  0.177  0.677  0.500
Rb  0.823  0.323  0.500
Pt  0.642  0.142  0.000
Rb  0.323  0.177  0.500
Pt  0.358  0.858  0.000
Rb  0.677  0.823  0.500
Pt  0.142  0.358  0.000
Al  0.500  0.500  0.000

As for the density of states at the Fermi level: 2.59 states/eV/f.u. Its final energy is -3.73 eV per atom. The calculation puts the energy of formation at -0.18 eV/atom. The space group is P4/mbm (127).

***

Record 5
The following is a DFT calculation (PBE-GGA) of a relaxed structure of TbSm6Ho5.

Unit cell a=5.064 b=10.090 c=9.466 alpha=122.20 beta=105.52 gamma=90.00
Atoms (fractional coordinates):
Ho  0.667  0.167  0.333
Ho  0.333  0.833  0.667
Ho  0.333  0.333  0.666
Ho  0.667  0.667  0.334
Tb  0.000  0.000  0.000
Ho  0.000  0.500  0.000
Sm  0.167  0.417  0.333
Sm  0.833  0.583  0.667
Sm  0.500  0.749  0.000
Sm  0.500  0.251  0.000
Sm  0.167  0.916  0.333
Sm  0.833  0.084  0.667

As for the density of states at the Fermi level: 15.39 states/eV/f.u. Its final energy is -4.64 eV per atom. The calculation puts the energy of formation at 0.02 eV/atom. The space group is Immm (71).

***

Record 6
The following is a DFT calculation (PBE-GGA) of a relaxed structure of LaPrTh4.

Unit cell a=3.617 b=3.617 c=15.318 alpha=90.00 beta=90.00 gamma=90.00
Atoms (fractional coordinates):
Pr  0.000  0.000  0.000
Th  0.500  0.500  0.172
La  0.500  0.500  0.500
Th  0.000  0.000  0.329
Th  0.000  0.000  0.671
Th  0.500  0.500  0.828

As for the density of states at the Fermi level: 9.94 states/eV/f.u. For the energy above the most stable polymorph in this dataset, the calculation gives 0.00 kcal/mol of atoms. Its final energy is -6.51 eV per atom. The calculation puts the energy of formation at 0.05 eV/atom. The space group is P4/mmm (123).